No. 1
Material: NpHgAu2
Method: DFT, PBE-GGA
State: optimized geometry

Its magnetic moment is 4.9 μB/f.u. The value obtained for the volume is 22.018 Å³/atom. The calculated formation energy is 64 meV/atom.

The structure belongs to space group P4/mmm (No. 123); the cell edges are 5.4712, 5.4712 and 2.9422 Å and the angles 90.00°, 90.00° and 90.00°. The asymmetric unit holds Np at (0.0000, 0.0000, 0.0000), Hg at (0.5000, 0.5000, 0.0000) and Au at (0.0000, 0.5000, 0.5000).

***

No. 2
Material: K3Ag8Sn
Method: DFT, PBE-GGA
State: optimized geometry

Its magnetic moment is 0.0 μB/f.u. The value obtained for the volume is 23.542 Å³/atom. The calculated formation energy is 8 meV/atom.

The structure belongs to space group R3m (No. 160, hexagonal axes); the cell edges are 5.8410, 5.8410 and 28.6842 Å and the angles 90.00°, 90.00° and 120.00°. The asymmetric unit holds K at (0.0000, 0.0000, 0.0000), K at (0.0000, 0.0000, 0.1270), K at (0.0000, 0.0000, 0.6254), Ag at (0.0000, 0.0000, 0.3132), Ag at (0.0000, 0.0000, 0.8137), Ag at (0.0050, 0.5025, 0.0669), Ag at (0.1682, 0.3364, 0.8936) and Sn at (0.0000, 0.0000, 0.5040).

***

Number 1: density of states at the Fermi level 8.411 states/eV per cell. Number 2: density of states at the Fermi level 7.793 states/eV per cell.